Material: InMoSe2Br
Method: DFT, PBE
State: optimized geometry

Output
- E above lowest polymorph: 0.0000 eV per atom
- Uncorrected formation energy: -0.109 eV/atom
- E: -22.8 eV/cell

Cell: 4.9270 4.9270 5.5108 Å, 90.00 90.00 90.00°
With the nearest neighbours (Å) after each atom.
Positions (direct):
In (0.5000, 0.5000, 0.5000)  4 Br 3.48, 8 Se 3.70
Se (0.0000, 0.5000, 0.0000)  2 Mo 2.46
Se (0.5000, 0.0000, 0.0000)  2 Mo 2.46
Mo (0.0000, 0.0000, 0.0000)  4 Se 2.46, 2 Br 2.76
Br (0.0000, 0.0000, 0.5000)  2 Mo 2.76